This record from Alexandria describes a geometry-optimized Hf8AlAs2 structure. The functional is PBE-GGA.

Calculated values
spin magnetization = 0.0 μB per formula unit
ΔE_f = -0.321 eV per atom
Fermi-level density of states = 18.70 states/eV/cell
E = -8.7455 eV per atom

abc: 8.0221 11.9802 4.9993
angles: 90.00 105.68 90.00
Space group C2/m (No. 12)
Asymmetric unit:
Hf (0.0000, 0.2412, 0.0000) [4 per cell]
Hf (0.1172, 0.5000, 0.8266) [4 per cell]
Hf (0.1994, 0.1215, 0.5898) [8 per cell]
Al (0.0000, 0.0000, 0.0000) [2 per cell]
As (0.0000, 0.3145, 0.5000) [4 per cell]

This record from Alexandria describes a geometry-optimized Pr3Bi5S12 structure. The functional is PBE-GGA.

Calculated values
spin magnetization = 0.0 μB per formula unit
E = -5.0269 eV per atom

abc: 16.6263 16.6263 16.6263
angles: 90.00 90.00 90.00
Space group Ia-3d (No. 230)
Asymmetric unit:
Pr (0.0000, 0.2500, 0.1250) [24 per cell]
Bi (0.0000, 0.0000, 0.0000) [16 per cell]
Bi (0.0000, 0.2500, 0.3750) [24 per cell]
S (0.0166, 0.0690, 0.6536) [96 per cell]